A plane-wave DFT calculation with GGA-PBE was carried out for a relaxed structure of Ac12Co5Pb.

Cell and atoms, written as POSCAR:
```
Ac12Co5Pb
1.0
8.595 0.101 -3.222
-4.448 7.528 -2.795
0.048 -0.101 9.179
Ac Co Pb
12 5 1
direct
0.814 0.625 0.811
0.125 0.814 0.311
0.186 0.375 0.189
0.686 0.682 0.368
0.496 0.186 0.311
0.875 0.186 0.689
0.314 0.318 0.632
0.314 0.682 0.996
0.814 0.003 0.189
0.686 0.318 0.004
0.504 0.814 0.689
0.186 0.997 0.811
0.500 0.109 0.609
0.500 0.891 0.391
0.000 0.000 0.000
0.386 0.386 0.000
0.614 0.614 0.000
0.000 0.500 0.500
```

Summary:
Formation enthalpy at 0 K ... -0.085 eV/atom
D(E_F) ... 16.2 states/eV per cell